(1)
Entry from Alexandria via LeMat-Bulk: a geometry-optimized LaZnIr structure (GGA-PBEsol).

## Properties
space group: No. 187
DOS(E_F): 1.05 states/eV/f.u.
total moment: 0.000 μB/cell
crystal system: hexagonal
energy of formation from the pure elements: -0.490 eV per atom

Geometry as CIF:
```
data_LaZnIr
_cell_length_a 3.930
_cell_length_b 4.321
_cell_length_c 4.321
_cell_angle_alpha 120.00
_cell_angle_beta 90.00
_cell_angle_gamma 90.00
_symmetry_space_group_name_H-M 'P 1'
_symmetry_Int_Tables_number 1
loop_
_symmetry_equiv_pos_as_xyz
'x,y,z'
loop_
_atom_site_label
_atom_site_type_symbol
_atom_site_fract_x
_atom_site_fract_y
_atom_site_fract_z
La1 La 0.000 0.333 0.667
Ir1 Ir 0.500 0.000 0.000
Zn1 Zn 0.500 0.667 0.333
```

(2)
Entry from Alexandria via LeMat-Bulk: a geometry-optimized Zn2IrPb structure (GGA-PBEsol).

## Properties
space group: No. 38
DOS(E_F): 1.80 states/eV/f.u.
total moment: 0.000 μB/cell
crystal system: orthorhombic
energy of formation from the pure elements: 0.147 eV per atom

Geometry as CIF:
```
data_Zn2IrPb
_cell_length_a 3.212
_cell_length_b 4.189
_cell_length_c 5.427
_cell_angle_alpha 90.00
_cell_angle_beta 107.16
_cell_angle_gamma 90.00
_symmetry_space_group_name_H-M 'P 1'
_symmetry_Int_Tables_number 1
loop_
_symmetry_equiv_pos_as_xyz
'x,y,z'
loop_
_atom_site_label
_atom_site_type_symbol
_atom_site_fract_x
_atom_site_fract_y
_atom_site_fract_z
Zn1 Zn 0.978 0.000 0.080
Zn2 Zn 0.549 0.500 0.220
Ir1 Ir 0.683 0.000 0.491
Pb1 Pb 0.291 0.500 0.708
```

(3)
Entry from Alexandria via LeMat-Bulk: a geometry-optimized KNi2Ag structure (GGA-PBEsol).

## Properties
space group: No. 225
DOS(E_F): 2.48 states/eV/f.u.
total moment: 0.000 μB/cell
crystal system: cubic
energy of formation from the pure elements: 0.937 eV per atom

Geometry as CIF:
```
data_KNi2Ag
_cell_length_a 4.498
_cell_length_b 4.498
_cell_length_c 4.498
_cell_angle_alpha 60.00
_cell_angle_beta 60.00
_cell_angle_gamma 60.00
_symmetry_space_group_name_H-M 'P 1'
_symmetry_Int_Tables_number 1
loop_
_symmetry_equiv_pos_as_xyz
'x,y,z'
loop_
_atom_site_label
_atom_site_type_symbol
_atom_site_fract_x
_atom_site_fract_y
_atom_site_fract_z
Ag1 Ag 0.000 0.000 0.000
Ni1 Ni 0.250 0.250 0.250
Ni2 Ni 0.750 0.750 0.750
K1 K 0.500 0.500 0.500
```

(4)
Entry from Alexandria via LeMat-Bulk: a geometry-optimized SrP2Ru structure (GGA-PBEsol).

## Properties
space group: No. 119
DOS(E_F): 4.24 states/eV/f.u.
total moment: 0.002 μB/cell
crystal system: tetragonal
energy of formation from the pure elements: 0.310 eV per atom

Geometry as CIF:
```
data_SrP2Ru
_cell_length_a 3.938
_cell_length_b 3.938
_cell_length_c 5.312
_cell_angle_alpha 111.76
_cell_angle_beta 111.76
_cell_angle_gamma 90.00
_symmetry_space_group_name_H-M 'P 1'
_symmetry_Int_Tables_number 1
loop_
_symmetry_equiv_pos_as_xyz
'x,y,z'
loop_
_atom_site_label
_atom_site_type_symbol
_atom_site_fract_x
_atom_site_fract_y
_atom_site_fract_z
P1 P 0.750 0.250 0.500
P2 P 0.000 0.000 0.000
Sr1 Sr 0.250 0.750 0.500
Ru1 Ru 0.500 0.500 0.000
```

(5)
Entry from Alexandria via LeMat-Bulk: a geometry-optimized KMg2Ga2 structure (GGA-PBEsol).

## Properties
space group: No. 139
DOS(E_F): 2.42 states/eV/f.u.
total moment: 0.000 μB/cell
crystal system: tetragonal
energy of formation from the pure elements: -0.054 eV per atom

Geometry as CIF:
```
data_KMg2Ga2
_cell_length_a 4.810
_cell_length_b 4.810
_cell_length_c 6.396
_cell_angle_alpha 112.08
_cell_angle_beta 112.08
_cell_angle_gamma 90.00
_symmetry_space_group_name_H-M 'P 1'
_symmetry_Int_Tables_number 1
loop_
_symmetry_equiv_pos_as_xyz
'x,y,z'
loop_
_atom_site_label
_atom_site_type_symbol
_atom_site_fract_x
_atom_site_fract_y
_atom_site_fract_z
Ga1 Ga 0.613 0.613 0.227
Ga2 Ga 0.387 0.387 0.773
Mg1 Mg 0.250 0.750 0.500
Mg2 Mg 0.750 0.250 0.500
K1 K 0.000 0.000 0.000
```

(6)
Entry from Alexandria via LeMat-Bulk: a geometry-optimized RePRhO2 structure (GGA-PBEsol).

## Properties
space group: No. 123
DOS(E_F): 2.96 states/eV/f.u.
total moment: 0.823 μB/cell
energy relative to the elements, uncorrected: -0.42 eV/atom
crystal system: tetragonal

Geometry as CIF:
```
data_RePRhO2
_cell_length_a 3.663
_cell_length_b 3.663
_cell_length_c 5.216
_cell_angle_alpha 90.00
_cell_angle_beta 90.00
_cell_angle_gamma 90.00
_symmetry_space_group_name_H-M 'P 1'
_symmetry_Int_Tables_number 1
loop_
_symmetry_equiv_pos_as_xyz
'x,y,z'
loop_
_atom_site_label
_atom_site_type_symbol
_atom_site_fract_x
_atom_site_fract_y
_atom_site_fract_z
Re1 Re 0.000 0.000 0.000
O1 O 0.000 0.500 0.000
O2 O 0.500 0.000 0.000
P1 P 0.000 0.000 0.500
Rh1 Rh 0.500 0.500 0.500
```

What is the formula in the sixth record?
RePRhO2